TmMgCuPd | PBE | relaxed

## Properties
- ΔE_f (meV per atom) = -519
- D(E_F) (states/eV/cell) = 9.41
- energy (eV/atom) = -4.358

```
data_TmMgCuPd
_cell_length_a 6.655
_cell_length_b 6.655
_cell_length_c 6.655
_cell_angle_alpha 90.00
_cell_angle_beta 90.00
_cell_angle_gamma 90.00
_space_group_name_H-M_alt 'F -4 3 m'
_space_group_IT_number 216
_space_group_name_Hall 'F -4 2 3'
loop_
_atom_site_label
_atom_site_type_symbol
_atom_site_fract_x
_atom_site_fract_y
_atom_site_fract_z
Tm1 Tm 0.000 0.000 0.000
Mg1 Mg 0.000 0.000 0.500
Cu1 Cu 0.250 0.250 0.750
Pd1 Pd 0.250 0.250 0.250
```